# MnPNO2 | Alexandria | PBE with a Hubbard U | relaxed
data_MnPNO2
_space_group_name_H-M_alt 'P 4/m m m'
_space_group_IT_number 123
_space_group_name_Hall '-P 4 2'
_cell_length_a 3.662
_cell_length_b 3.662
_cell_length_c 3.982
_cell_angle_alpha 90.00
_cell_angle_beta 90.00
_cell_angle_gamma 90.00
loop_
_atom_site_label
_atom_site_fract_x
_atom_site_fract_y
_atom_site_fract_z
_atom_site_occupancy
Mn1 0.000 0.000 0.000 1
P1 0.500 0.500 0.500 1
N1 0.000 0.000 0.500 1
O1 0.000 0.500 0.000 1
# density of states at the Fermi level: 1.25 states/eV/f.u.
# calculated total energy: -29.42 eV per cell